No. 1
Material: CaCdGe2
Method: DFT, PBE
State: optimized geometry

Cell: 4.517 4.517 4.281 Å, 90.00 90.00 90.00°
Positions (direct):
Ca1 0.000 0.000 0.000
Cd1 0.500 0.500 0.000
Ge1 0.000 0.500 0.500
Ge2 0.500 0.000 0.500

Calculated values
The value obtained for the density is 5.7 g/cm3. The calculation puts the total magnetic moment at 0.000 μB per formula unit. The crystal system is tetragonal. Its symmetry is P4/mmm, No. 123. The energy of formation from the pure elements is -244.7 meV per atom.


No. 2
Material: Ca6Cd5Ge
Method: DFT, PBE
State: optimized geometry

Cell: 8.440 8.440 7.698 Å, 90.00 90.00 143.21°
Positions (direct):
Ca1 0.000 0.000 0.240
Ca2 0.000 0.000 0.760
Ca3 0.339 0.661 0.247
Ca4 0.339 0.661 0.753
Ca5 0.661 0.339 0.247
Ca6 0.661 0.339 0.753
Cd1 0.168 0.832 0.500
Cd2 0.173 0.827 0.000
Cd3 0.500 0.500 0.500
Cd4 0.827 0.173 0.000
Cd5 0.832 0.168 0.500
Ge1 0.500 0.500 0.000

Calculated values
The value obtained for the density is 4.4 g/cm3. The calculation puts the total magnetic moment at 0.000 μB per formula unit. The crystal system is orthorhombic. Its symmetry is Cmmm, No. 65. The energy of formation from the pure elements is -401.3 meV per atom.


No. 3
Material: CaCdGe3
Method: DFT, PBE
State: optimized geometry

Cell: 5.451 5.451 5.451 Å, 90.00 90.00 90.00°
Positions (direct):
Ca1 0.000 0.000 0.000
Cd1 0.500 0.500 0.500
Ge1 0.000 0.000 0.500
Ge2 0.000 0.500 0.000
Ge3 0.500 0.000 0.000

Calculated values
The value obtained for the density is 3.8 g/cm3. The calculation puts the total magnetic moment at 0.158 μB per formula unit. For the energy above the most stable polymorph in this dataset, the calculation gives 251 kJ/mol of formula units. The crystal system is cubic. Its symmetry is Pm-3m, No. 221. The energy of formation from the pure elements is 915.6 meV per atom.


No. 4
Material: CaCd2Ge
Method: DFT, PBE
State: optimized geometry

Cell: 11.068 11.068 11.068 Å, 17.54 17.54 17.54°
Positions (direct):
Ca1 0.000 0.000 0.000
Cd1 0.097 0.097 0.097
Cd2 0.903 0.903 0.903
Ge1 0.500 0.500 0.500

Calculated values
The value obtained for the density is 5.2 g/cm3. The calculation puts the total magnetic moment at 0.000 μB per formula unit. The crystal system is trigonal. Its symmetry is R-3m, No. 166. The energy of formation from the pure elements is 266.8 meV per atom.


No. 5
Material: CaCd4Ge
Method: DFT, PBE
State: optimized geometry

Cell: 5.900 5.900 5.900 Å, 60.00 60.00 60.00°
Positions (direct):
Ca1 0.000 0.000 0.000
Cd1 0.126 0.625 0.625
Cd2 0.625 0.126 0.625
Cd3 0.625 0.625 0.126
Cd4 0.625 0.625 0.625
Ge1 0.250 0.250 0.250

Calculated values
The value obtained for the density is 6.4 g/cm3. The calculation puts the total magnetic moment at 0.000 μB per formula unit. The crystal system is cubic. Its symmetry is F-43m, No. 216. The energy of formation from the pure elements is -76.2 meV per atom.


No. 6
Material: Ca6Cd23Ge
Method: DFT, PBE
State: optimized geometry

Cell: 10.077 10.077 10.077 Å, 60.00 60.00 60.00°
Positions (direct):
Ca1 0.209 0.209 0.791
Ca2 0.209 0.791 0.209
Ca3 0.209 0.791 0.791
Ca4 0.791 0.209 0.209
Ca5 0.791 0.209 0.791
Ca6 0.791 0.791 0.209
Cd1 0.000 0.000 0.500
Cd2 0.000 0.500 0.000
Cd3 0.000 0.500 0.500
Cd4 0.132 0.623 0.623
Cd5 0.162 0.162 0.162
Cd6 0.162 0.162 0.515
Cd7 0.162 0.515 0.162
Cd8 0.377 0.377 0.377
Cd9 0.377 0.377 0.868
Cd10 0.377 0.868 0.377
Cd11 0.485 0.838 0.838
Cd12 0.500 0.000 0.000
Cd13 0.500 0.000 0.500
Cd14 0.500 0.500 0.000
Cd15 0.500 0.500 0.500
Cd16 0.515 0.162 0.162
Cd17 0.623 0.132 0.623
Cd18 0.623 0.623 0.132
Cd19 0.623 0.623 0.623
Cd20 0.838 0.485 0.838
Cd21 0.838 0.838 0.485
Cd22 0.838 0.838 0.838
Cd23 0.868 0.377 0.377
Ge1 0.000 0.000 0.000

Calculated values
The value obtained for the density is 6.7 g/cm3. The calculation puts the total magnetic moment at 0.000 μB per formula unit. The crystal system is cubic. Its symmetry is Fm-3m, No. 225. The energy of formation from the pure elements is -243.9 meV per atom.